# Ac2HfCr3O12

A geometry-optimized Ac2HfCr3O12 structure (PBE with a Hubbard U, Alexandria via LeMat-Bulk). Values from VASP.

- volume (Å³/f.u.) = 224.5
- magnetic moment (μB per formula unit) = 4.0
- crystal system = trigonal
- symmetry = No. 166
- total energy (Ry/atom) = -0.5621

```
&SYSTEM
  ibrav = 0, nat = 18, ntyp = 4
/
ATOMIC_SPECIES
O 16.00 O.upf
Cr 52.00 Cr.upf
Ac 227.00 Ac.upf
Hf 178.49 Hf.upf
CELL_PARAMETERS angstrom
6.668 -0.159 -0.112
3.155 5.877 -0.112
3.155 1.837 5.584
ATOMIC_POSITIONS crystal
O 0.710 0.710 0.116
O 0.608 0.127 0.127
O 0.116 0.710 0.710
Cr 0.000 0.000 0.500
Ac 0.384 0.384 0.384
O 0.392 0.873 0.873
O 0.710 0.116 0.710
Cr 0.500 0.000 0.000
O 0.127 0.608 0.127
O 0.873 0.873 0.392
Cr 0.000 0.500 0.000
O 0.873 0.392 0.873
O 0.127 0.127 0.608
O 0.290 0.290 0.884
O 0.290 0.884 0.290
O 0.884 0.290 0.290
Hf 0.000 0.000 0.000
Ac 0.616 0.616 0.616
```


# AcHfCrO6

A geometry-optimized AcHfCrO6 structure (PBE with a Hubbard U, Alexandria via LeMat-Bulk). Values from VASP.

- volume (Å³/f.u.) = 125.1
- magnetic moment (μB per formula unit) = 1.0
- crystal system = tetragonal
- symmetry = No. 102
- total energy (Ry/atom) = -0.6004

```
&SYSTEM
  ibrav = 0, nat = 18, ntyp = 4
/
ATOMIC_SPECIES
O 16.00 O.upf
Ac 227.00 Ac.upf
Cr 52.00 Cr.upf
Hf 178.49 Hf.upf
CELL_PARAMETERS angstrom
-4.130 -0.526 2.814
2.842 -0.165 4.141
-0.672 9.852 0.854
ATOMIC_POSITIONS crystal
O 0.667 0.667 0.991
O 0.280 0.280 0.700
O 0.167 0.833 0.491
Ac 0.500 0.500 0.511
O 0.220 0.780 0.200
Cr 0.500 0.500 0.840
O 0.720 0.720 0.700
O 0.780 0.220 0.200
O 0.251 0.251 0.303
O 0.749 0.749 0.303
Hf 0.500 0.500 0.162
O 0.833 0.167 0.491
Cr 0.000 0.000 0.340
Hf 0.000 0.000 0.662
O 0.249 0.751 0.803
O 0.751 0.249 0.803
O 0.333 0.333 0.991
Ac 0.000 0.000 0.011
```


# AcHf2CrO8

A geometry-optimized AcHf2CrO8 structure (PBE with a Hubbard U, Alexandria via LeMat-Bulk). Values from VASP.

- volume (Å³/f.u.) = 163.3
- magnetic moment (μB per formula unit) = 1.2
- crystal system = orthorhombic
- symmetry = No. 65
- total energy (Ry/atom) = -0.6345

```
&SYSTEM
  ibrav = 0, nat = 12, ntyp = 4
/
ATOMIC_SPECIES
O 16.00 O.upf
Hf 178.49 Hf.upf
Ac 227.00 Ac.upf
Cr 52.00 Cr.upf
CELL_PARAMETERS angstrom
-2.791 4.041 -0.430
-1.427 -0.181 4.713
5.261 3.819 1.740
ATOMIC_POSITIONS crystal
O 0.199 0.801 0.802
Hf 0.500 0.500 0.764
O 0.334 0.333 0.500
O 0.199 0.801 0.198
O 0.801 0.199 0.802
Ac 0.000 0.000 0.500
O 0.666 0.667 0.500
Cr 0.000 0.000 0.000
Hf 0.500 0.500 0.236
O 0.699 0.700 0.000
O 0.301 0.300 0.000
O 0.801 0.199 0.198
```


# Ac2HfCrO6

A geometry-optimized Ac2HfCrO6 structure (PBE with a Hubbard U, Alexandria via LeMat-Bulk). Values from VASP.

- volume (Å³/f.u.) = 140.7
- magnetic moment (μB per formula unit) = 2.0
- crystal system = monoclinic
- symmetry = No. 14
- total energy (Ry/atom) = -0.6279

```
&SYSTEM
  ibrav = 0, nat = 20, ntyp = 4
/
ATOMIC_SPECIES
O 16.00 O.upf
Ac 227.00 Ac.upf
Hf 178.49 Hf.upf
Cr 52.00 Cr.upf
CELL_PARAMETERS angstrom
5.843 0.000 0.007
0.000 5.860 0.000
0.062 0.000 8.219
ATOMIC_POSITIONS crystal
O 0.285 0.706 0.041
Ac 0.508 0.543 0.753
O 0.204 0.214 0.043
Hf 0.500 0.000 0.500
O 0.580 0.020 0.253
Ac 0.008 0.957 0.253
O 0.704 0.286 0.543
Cr 0.500 0.000 0.000
O 0.920 0.520 0.247
Cr 0.000 0.500 0.500
O 0.796 0.786 0.957
Ac 0.492 0.457 0.247
Hf 0.000 0.500 0.000
O 0.215 0.206 0.459
O 0.715 0.294 0.959
O 0.785 0.794 0.541
O 0.080 0.480 0.753
Ac 0.992 0.043 0.747
O 0.420 0.980 0.747
O 0.296 0.714 0.457
```


- The highest magnetic moment belongs to which entry?
  Ac2HfCr3O12


- Number 1 is which compound?
  Ac2HfCr3O12


- volume of number 3 (AcHf2CrO8)?
  163.3 Å³/f.u.